This record from the Alexandria database describes a geometry-optimized Sn2WAu structure. The functional is PBE-GGA.

abc: 4.846 4.846 4.846
angles: 60.00 60.00 60.00
Sites, in units of the cell vectors:
Au (0.500, 0.500, 0.500)
Sn (0.250, 0.250, 0.250)
Sn (0.750, 0.750, 0.750)
W (0.000, 0.000, 0.000)

Crystal system: cubic
E_form: 0.653 eV per atom
Distance to the lowest polymorph of the same formula: 0 meV/atom
Total magnetization: 0.00 μB/f.u.

=====

This record from the Alexandria database describes a geometry-optimized K2HgIrN structure. The functional is PBE-GGA.

abc: 6.433 6.433 3.705
angles: 90.00 90.00 90.00
Sites, in units of the cell vectors:
K (0.000, 0.500, 0.000)
K (0.500, 0.000, 0.000)
Ir (0.000, 0.000, 0.000)
Hg (0.500, 0.500, 0.500)
N (0.000, 0.000, 0.500)

Raw formation energy: 10.6 kJ/mol of formula units
Crystal system: tetragonal
Distance to the lowest polymorph of the same formula: 137 meV/atom
Total magnetization: 0.00 μB/f.u.

=====

This record from the Alexandria database describes a geometry-optimized KThCuTe4 structure. The functional is PBE-GGA.

abc: 6.436 6.738 10.280
angles: 90.00 108.24 90.00
Sites, in units of the cell vectors:
K (0.612, 0.750, 0.224)
K (0.388, 0.250, 0.776)
Th (0.105, 0.250, 0.210)
Th (0.895, 0.750, 0.790)
Cu (0.314, 0.750, 0.628)
Cu (0.686, 0.250, 0.372)
Te (0.942, 0.250, 0.883)
Te (0.439, 0.750, 0.879)
Te (0.058, 0.750, 0.117)
Te (0.561, 0.250, 0.121)
Te (0.500, 0.500, 0.500)
Te (0.000, 0.000, 0.500)
Te (0.500, 0.000, 0.500)
Te (0.000, 0.500, 0.500)

Raw formation energy: -431.7 kJ/mol of formula units
Crystal system: orthorhombic
Total magnetization: 0.00 μB/f.u.

=====

This record from the Alexandria database describes a geometry-optimized TiCrH structure. The functional is PBE-GGA.

abc: 2.818 2.818 4.969
angles: 106.47 106.47 90.00
Sites, in units of the cell vectors:
Cr (0.311, 0.311, 0.623)
Ti (0.022, 0.022, 0.045)
H (0.516, 0.516, 0.032)

Crystal system: tetragonal
Distance to the lowest polymorph of the same formula: 261 meV/atom
Total magnetization: 3.01 μB/f.u.

=====

This record from the Alexandria database describes a geometry-optimized MgCdCl2 structure. The functional is PBE-GGA.

abc: 6.812 6.812 6.812
angles: 145.52 145.52 49.56
Sites, in units of the cell vectors:
Cd (0.750, 0.250, 0.500)
Cl (0.000, 0.000, 0.000)
Cl (0.250, 0.750, 0.500)
Mg (0.500, 0.500, 0.000)

Raw formation energy: -211.0 kJ/mol of formula units
Crystal system: tetragonal
Distance to the lowest polymorph of the same formula: 719 meV/atom
Total magnetization: 0.00 μB/f.u.

=====

This record from the Alexandria database describes a geometry-optimized Ba6SrI12 structure. The functional is PBE-GGA.

abc: 10.015 10.015 10.015
angles: 100.29 100.29 100.29
Sites, in units of the cell vectors:
Ba (0.138, 0.308, 0.634)
Ba (0.692, 0.366, 0.862)
Ba (0.366, 0.862, 0.692)
Ba (0.862, 0.692, 0.366)
Ba (0.308, 0.634, 0.138)
Ba (0.634, 0.138, 0.308)
Sr (0.000, 0.000, 0.000)
I (0.426, 0.175, 0.568)
I (0.175, 0.568, 0.426)
I (0.568, 0.426, 0.175)
I (0.574, 0.825, 0.432)
I (0.825, 0.432, 0.574)
I (0.432, 0.574, 0.825)
I (0.034, 0.937, 0.677)
I (0.323, 0.966, 0.063)
I (0.063, 0.323, 0.966)
I (0.966, 0.063, 0.323)
I (0.677, 0.034, 0.937)
I (0.937, 0.677, 0.034)

Raw formation energy: -2980.8 kJ/mol of formula units
Crystal system: trigonal
Total magnetization: 0.02 μB/f.u.